# PBEsol YMg2, relaxed
# - Theoretical density: 3.01 g/cm³
# - Fermi-level density of states: 0.713 states/eV per atom
# - Formation enthalpy at 0 K: -0.05 eV per atom
data_YMg2
_chemical_formula_sum 'Y2 Mg4'
_symmetry_space_group_name_H-M 'P 1'
_symmetry_Int_Tables_number 1
_cell_length_a 7.641
_cell_length_b 7.641
_cell_length_c 5.139
_cell_angle_alpha 90.00
_cell_angle_beta 90.00
_cell_angle_gamma 149.60
loop_
_symmetry_equiv_pos_as_xyz
'x,y,z'
loop_
_atom_site_label
_atom_site_type_symbol
_atom_site_fract_x
_atom_site_fract_y
_atom_site_fract_z
Y1 Y 0.083 0.917 0.750
Y2 Y 0.917 0.083 0.250
Mg1 Mg 0.243 0.757 0.250
Mg2 Mg 0.410 0.590 0.750
Mg3 Mg 0.590 0.410 0.250
Mg4 Mg 0.757 0.243 0.750